Tc2OsRu6 | the Alexandria database | GGA-PBE | relaxed; crystal system = monoclinic; calculated formation energy = 0.1851 eV per atom; E = -171.9 eV for the cell shown
1.0
-3.101 0.481 8.459
-4.870 -4.111 3.306
1.151 -4.429 5.532
Tc Os Ru
4 2 12
Direct
0.131 0.619 0.818 Tc
0.369 0.182 0.381 Tc
0.869 0.381 0.182 Tc
0.631 0.818 0.619 Tc
0.250 0.118 0.882 Os
0.750 0.882 0.118 Os
0.498 0.659 0.540 Ru
0.002 0.460 0.341 Ru
0.502 0.341 0.460 Ru
0.998 0.540 0.659 Ru
0.937 0.944 0.239 Ru
0.563 0.761 0.056 Ru
0.063 0.056 0.761 Ru
0.437 0.239 0.944 Ru
0.306 0.646 0.028 Ru
0.194 0.972 0.354 Ru
0.694 0.354 0.972 Ru
0.806 0.028 0.646 Ru